[1]
5
Lattice="5.881 0.000 0.000 0.000 5.881 0.000 0.000 0.000 5.889" Properties=species:S:1:pos:R:3 comment="PBE-GGA SbTe2ICl, relaxed" magmom_total_mub_per_cell=2.56 relative_energy_mev_per_atom=0 raw_formation_energy_kj_per_mol_atoms=40.4 dos_ef_per_ev_atom=1.389 pbc="T T T"
Cl 2.940 2.940 2.945
Te 2.940 0.000 0.000
I 0.000 0.000 2.945
Sb 0.000 0.000 0.000
Te 0.000 2.940 0.000

[2]
80
Lattice="14.844 0.000 0.000 -4.948 13.995 0.000 -4.948 -6.998 12.120" Properties=species:S:1:pos:R:3 comment="PBE-GGA Cu5Ge3I12, relaxed" magmom_total_mub_per_cell=0.00 raw_formation_energy_kj_per_mol_atoms=-6.5 dos_ef_per_ev_atom=0.702 pbc="T T T"
I 4.844 2.416 7.171
I -4.844 5.494 11.739
I 9.792 1.504 0.382
Ge 11.133 0.000 3.030
I -3.102 8.035 9.561
I 0.104 4.581 4.949
I -0.628 1.037 2.560
I 5.612 -1.899 11.054
I -0.664 5.124 1.111
Ge 1.237 -0.875 4.545
I -3.761 11.902 1.493
Cu 4.948 6.998 0.000
Cu -1.237 3.499 3.030
I 0.628 8.798 8.238
I 1.810 -1.873 11.009
I -2.578 3.078 7.553
Ge -3.711 2.624 10.605
I 5.612 1.873 11.009
Cu 1.237 4.374 10.605
I 10.560 7.023 2.178
Ge -3.711 -2.624 10.605
I 8.709 -4.904 10.627
I -1.846 -0.763 5.678
I 3.661 5.839 4.993
I 2.578 -2.416 7.171
I 7.527 3.920 4.567
I -1.287 4.904 10.627
Ge 6.185 0.875 4.545
Ge 3.711 0.000 9.090
I 6.235 2.094 1.493
I 3.138 8.871 1.111
I -5.612 -0.026 9.942
I -2.578 -5.494 11.739
Cu 6.185 -4.374 10.605
I 9.269 0.763 5.678
Cu -2.474 6.998 0.000
Cu -2.474 -3.499 6.060
Ge 8.659 4.374 1.515
I 3.102 1.801 3.882
Ge 3.711 7.872 7.575
I 11.083 3.253 3.500
Cu 0.000 0.000 0.000
I 6.135 -1.159 7.127
I 4.321 -1.801 3.882
Cu 1.237 -3.499 9.090
Ge 1.237 6.998 3.030
I 1.846 5.197 8.238
I -1.287 -3.745 8.620
I 2.370 9.414 4.949
I -1.810 0.026 9.942
Ge -6.185 6.998 9.090
Cu -1.237 0.875 7.575
I 6.759 6.972 2.178
I 6.795 7.761 6.442
I 10.001 -3.078 7.553
I -6.135 3.745 8.620
Cu 4.948 -3.499 6.060
Cu 8.659 -0.875 7.575
Cu -4.948 3.499 6.060
Cu 3.711 10.497 3.030
Cu 6.185 6.123 4.545
I -5.052 10.075 4.567
I -0.664 8.897 1.067
Ge -1.237 6.123 7.575
Cu 3.711 2.624 1.515
I -4.321 6.234 6.442
Cu 6.185 3.499 9.090
I 7.526 12.492 0.382
I 1.287 1.159 7.127
Cu 7.422 0.000 0.000
Cu 2.474 3.499 6.060
I -1.187 8.157 4.993
I 6.235 10.743 3.500
Cu -3.711 7.872 4.545
Cu -1.237 11.371 1.515
I 1.810 1.899 11.054
Ge 8.659 9.622 1.515
I 3.138 5.099 1.067
I 8.050 -1.037 2.560
I 5.576 5.961 9.561